(1)
Material: Ce2Ag3Hg
Method: DFT, PBE-GGA
State: optimized geometry

a = 3.3730 Å, b = 4.8357 Å, c = 9.6319 Å
α = 104.54°, β = 100.08°, γ = 90.00°
Closest atoms and distances in Å follow each position.
Fractional coordinates of all 6 atoms:
Ce: 0.1201 0.1201 0.2401  8 Ag 3.22-3.29, 2 Hg 3.35, 2 Ce 3.37
Ce: 0.8796 0.3796 0.7592  6 Ag 3.23-3.39, 4 Hg 3.31, 2 Ce 3.37
Ag: 0.6909 0.6909 0.3818  3 Ag 2.72-2.77
Ag: 0.5400 0.5400 0.0800  1 Ag 2.77, 2 Hg 2.81
Ag: 0.3073 0.8073 0.6146  2 Ag 2.72, 1 Hg 2.84
Hg: 0.4622 0.9622 0.9243  3 Ag 2.81-2.84

Results
DFT formation energy: -0.088 eV/atom
space-group type: Imm2
relative energy among the computed polymorphs: 0.829 eV per formula unit


(2)
Material: CeAg2Hg
Method: DFT, PBE-GGA
State: optimized geometry

a = 4.5583 Å, b = 5.7212 Å, c = 7.7779 Å
α = 90.00°, β = 90.00°, γ = 113.48°
Closest atoms and distances in Å follow each position.
Fractional coordinates of all 8 atoms:
Ce: 0.7434 0.4868 0.5000  5 Ag 3.04-3.38, 4 Hg 3.31
Ce: 0.5911 0.1822 0.0000  7 Ag 3.10-3.37
Ag: 0.0324 0.0648 0.6904  4 Ag 2.84-2.96, 1 Hg 2.89
Ag: 0.0324 0.0648 0.3096  4 Ag 2.84-2.96, 1 Hg 2.89
Ag: 0.8860 0.7721 0.0000  2 Ag 2.86, 4 Hg 2.92, 3 Ce 3.10-3.13
Ag: 0.4536 0.9072 0.5000  4 Ag 2.84, 2 Hg 2.87, 3 Ce 3.04-3.17
Hg: 0.2949 0.5899 0.8010  4 Ag 2.87-2.92, 1 Hg 3.10
Hg: 0.2949 0.5899 0.1990  4 Ag 2.87-2.92, 1 Hg 3.10

Results
DFT formation energy: -0.175 eV/atom
space-group type: Amm2


(3)
Material: Ce2AgHg4
Method: DFT, PBE-GGA
State: optimized geometry

a = 5.1559 Å, b = 5.1559 Å, c = 8.8253 Å
α = 73.02°, β = 73.02°, γ = 60.00°
Closest atoms and distances in Å follow each position.
Fractional coordinates of all 7 atoms:
Ag: 0.0000 0.0000 0.0000  8 Hg 3.18-3.19
Ce: 0.7462 0.7462 0.7615  8 Hg 3.09-3.21
Ce: 0.2538 0.2538 0.2385  8 Hg 3.09-3.21
Hg: 0.8726 0.8726 0.3823  4 Ce 3.15-3.21, 1 Ag 3.18
Hg: 0.1274 0.1274 0.6177  4 Ce 3.15-3.21, 1 Ag 3.18
Hg: 0.6205 0.6205 0.1385  4 Ce 3.09-3.13, 3 Ag 3.19
Hg: 0.3795 0.3795 0.8615  4 Ce 3.09-3.13, 3 Ag 3.19

Results
DFT formation energy: -0.177 eV/atom
space-group type: R-3m
relative energy among the computed polymorphs: 0.138 eV per formula unit


Which of these has the highest DFT formation energy?
Ce2Ag3Hg


What is the DFT formation energy in the third record?
-0.177 eV/atom


Copy entry 3 word for word.
Material: Ce2AgHg4
Method: DFT, PBE-GGA
State: optimized geometry

a = 5.1559 Å, b = 5.1559 Å, c = 8.8253 Å
α = 73.02°, β = 73.02°, γ = 60.00°
Closest atoms and distances in Å follow each position.
Fractional coordinates of all 7 atoms:
Ag: 0.0000 0.0000 0.0000  8 Hg 3.18-3.19
Ce: 0.7462 0.7462 0.7615  8 Hg 3.09-3.21
Ce: 0.2538 0.2538 0.2385  8 Hg 3.09-3.21
Hg: 0.8726 0.8726 0.3823  4 Ce 3.15-3.21, 1 Ag 3.18
Hg: 0.1274 0.1274 0.6177  4 Ce 3.15-3.21, 1 Ag 3.18
Hg: 0.6205 0.6205 0.1385  4 Ce 3.09-3.13, 3 Ag 3.19
Hg: 0.3795 0.3795 0.8615  4 Ce 3.09-3.13, 3 Ag 3.19

Results
DFT formation energy: -0.177 eV/atom
space-group type: R-3m
relative energy among the computed polymorphs: 0.138 eV per formula unit


Copy entry 1 word for word.
Material: Ce2Ag3Hg
Method: DFT, PBE-GGA
State: optimized geometry

a = 3.3730 Å, b = 4.8357 Å, c = 9.6319 Å
α = 104.54°, β = 100.08°, γ = 90.00°
Closest atoms and distances in Å follow each position.
Fractional coordinates of all 6 atoms:
Ce: 0.1201 0.1201 0.2401  8 Ag 3.22-3.29, 2 Hg 3.35, 2 Ce 3.37
Ce: 0.8796 0.3796 0.7592  6 Ag 3.23-3.39, 4 Hg 3.31, 2 Ce 3.37
Ag: 0.6909 0.6909 0.3818  3 Ag 2.72-2.77
Ag: 0.5400 0.5400 0.0800  1 Ag 2.77, 2 Hg 2.81
Ag: 0.3073 0.8073 0.6146  2 Ag 2.72, 1 Hg 2.84
Hg: 0.4622 0.9622 0.9243  3 Ag 2.81-2.84

Results
DFT formation energy: -0.088 eV/atom
space-group type: Imm2
relative energy among the computed polymorphs: 0.829 eV per formula unit